YHRh3, relaxed, DFT PBE; V = 14.48 Å³/atom; DFT total energy = -6.70 eV per atom; magnetization = 0.00 μB/f.u.
1.0
-13.377 -5.776 -8.772
2.966 -4.234 -1.735
4.075 0.496 5.754
Rh Y H
12 4 4
direct
0.719 0.566 0.221
0.921 0.365 0.968
0.421 0.135 0.468
0.079 0.635 0.032
0.219 0.934 0.721
0.043 0.241 0.573
0.281 0.434 0.779
0.781 0.066 0.279
0.457 0.741 0.927
0.957 0.759 0.427
0.543 0.259 0.073
0.579 0.865 0.532
0.167 0.133 0.216
0.667 0.367 0.716
0.833 0.867 0.784
0.333 0.633 0.284
0.777 0.257 0.474
0.723 0.757 0.026
0.223 0.743 0.526
0.277 0.243 0.974